LiPtOF2, optimized geometry, DFT PBE; theoretical density = 5.70 g/cm³; formation energy without anion corrections = -1.091 eV/atom; final energy = -4.42 eV per atom; relative energy among the computed polymorphs = 0.0 meV per atom; total moment = 0.0 μB/f.u.
1.0
4.4217 0.0000 0.0000
0.0000 4.4217 0.0000
0.0000 0.0000 3.8161
Li Pt O F
1 1 1 2
Cartesian
0.0000 0.0000 0.0000 Li
2.2109 2.2109 1.9080 Pt
2.2109 2.2109 0.0000 O
0.0000 2.2109 1.9080 F
2.2109 0.0000 1.9080 F